Record 1
# CsSnTeN2

A relaxed structure of CsSnTeN2 (PBEsol, Alexandria via LeMat-Bulk).

```
5
Lattice="-2.599 -2.485 2.748 3.697 -1.969 1.715 0.400 5.095 4.987" Properties=species:S:1:pos:R:3 pbc="T T T"
N 1.848 -0.985 0.858
Sn 0.749 0.320 4.725
Te 0.200 2.548 2.493
Cs 0.000 0.000 0.000
N -1.299 -1.243 1.374
```

Its calculated volume is 146.3 Å³/cell. The symmetry is P4/mmm (123). For the total magnetic moment, the calculation gives 0.4573 μB per atom. The calculation puts the raw formation energy at 1.97 eV per atom.

=====

Record 2
# GaSb2AuI

A relaxed structure of GaSb2AuI (PBEsol, Alexandria via LeMat-Bulk).

```
5
Lattice="-3.223 3.510 2.177 -3.905 -1.688 -3.058 -1.363 -3.545 3.698" Properties=species:S:1:pos:R:3 pbc="T T T"
Au -4.245 -0.861 1.409
Ga 0.000 0.000 0.000
I -0.682 -1.773 1.849
Sb -1.952 -0.844 -1.529
Sb -1.611 1.755 1.089
```

Its calculated volume is 145.5 Å³/cell. The symmetry is P4/mmm (123). For the total magnetic moment, the calculation gives 0.0000 μB per atom. The calculation puts the raw formation energy at 0.75 eV per atom.

=====

Record 3
# Sr2FeNiSn

A relaxed structure of Sr2FeNiSn (PBEsol, Alexandria via LeMat-Bulk).

```
5
Lattice="-2.105 -4.070 1.300 4.475 -1.028 4.029 -3.162 3.002 4.278" Properties=species:S:1:pos:R:3 pbc="T T T"
Fe -1.053 -2.035 0.650
Sr -1.581 1.501 2.139
Ni -0.396 -1.047 4.803
Sr 2.237 -0.514 2.014
Sn 0.000 0.000 0.000
```

Its calculated volume is 177.7 Å³/cell. The symmetry is P4/mmm (123). For the total magnetic moment, the calculation gives 0.7119 μB per atom. Its formation energy is 0.87 eV per atom.

=====

Record 4
# Ba2SiCl

A relaxed structure of Ba2SiCl (PBEsol, Alexandria via LeMat-Bulk).

```
4
Lattice="-2.216 1.970 2.357 -3.063 -1.202 -1.875 -0.504 -6.647 5.084" Properties=species:S:1:pos:R:3 pbc="T T T"
Ba -0.372 -4.901 3.749
Ba -0.132 -1.746 1.335
Cl -2.639 0.384 0.241
Si -2.892 -2.939 2.782
```

Its calculated volume is 120.3 Å³/cell. The symmetry is P4/mmm (123). For the total magnetic moment, the calculation gives 0.0000 μB per atom. The calculation puts the raw formation energy at -1.07 eV per atom.

=====

Record 5
# AgPOF2

A relaxed structure of AgPOF2 (PBEsol, Alexandria via LeMat-Bulk).

```
5
Lattice="-1.175 3.287 0.663 -2.943 -0.451 -2.981 -2.674 -1.535 2.872" Properties=species:S:1:pos:R:3 pbc="T T T"
F -1.471 -0.226 -1.491
F -1.337 -0.767 1.436
O -0.588 1.643 0.331
Ag -3.396 0.650 0.277
P 0.000 0.000 0.000
```

Its calculated volume is 63.1 Å³/cell. The symmetry is P4/mmm (123). For the total magnetic moment, the calculation gives 0.0000 μB per atom. The calculation puts the raw formation energy at -0.95 eV per atom.

=====

Record 6
# KGdMo2O8

A relaxed structure of KGdMo2O8 (PBEsol, Alexandria via LeMat-Bulk).

```
24
Lattice="-4.321 4.013 -4.471 1.095 -4.679 -5.628 -6.139 -3.406 -3.152" Properties=species:S:1:pos:R:3 pbc="T T T"
Mo -5.522 -2.756 -5.420
O -2.401 -2.306 -8.337
Gd -7.680 -0.539 -7.101
O -2.193 -2.793 -3.702
K -4.579 -5.517 -7.764
Mo -2.485 -1.001 -3.837
K -4.786 1.445 -5.488
Gd -1.684 -3.533 -6.150
O -8.088 -2.698 -7.737
Mo -6.880 -3.070 -9.415
O -4.966 -3.496 -3.914
O -6.326 -4.111 -6.175
O -2.714 -0.480 -2.163
O -6.964 -1.765 -4.915
O -5.509 -1.210 -6.843
O -1.277 -1.373 -5.515
O -5.230 -3.073 -8.840
O -7.172 -1.278 -9.550
O -3.038 0.039 -7.076
O -3.856 -2.861 -6.409
O -4.135 -0.999 -4.411
O -4.399 -0.576 -9.338
Mo -3.842 -1.316 -7.832
O -6.651 -3.591 -11.089
```

Its calculated volume is 316.7 Å³/cell. The symmetry is C2/c (15). For the total magnetic moment, the calculation gives 0.5775 μB per atom. The calculation puts the raw formation energy at -2.44 eV per atom.

=====

Record 7
# LiGe3H

A relaxed structure of LiGe3H (PBEsol, Alexandria via LeMat-Bulk).

```
5
Lattice="-1.474 -3.527 1.738 2.967 0.220 2.963 -2.580 2.268 2.414" Properties=species:S:1:pos:R:3 pbc="T T T"
Ge -1.290 1.134 1.207
Ge 1.483 0.110 1.482
Ge -0.737 -1.763 0.869
H 0.000 0.000 0.000
Li -0.544 -0.519 3.558
```

Its calculated volume is 74.0 Å³/cell. The symmetry is Pm-3m (221). For the total magnetic moment, the calculation gives 0.0001 μB per atom. The value obtained for the calculated total energy is -19.165 eV/f.u.

=====

Record 8
# CrCoPtI2

A relaxed structure of CrCoPtI2 (PBEsol, Alexandria via LeMat-Bulk).

```
5
Lattice="4.226 0.000 0.000 0.000 5.036 0.000 0.000 0.000 5.036" Properties=species:S:1:pos:R:3 pbc="T T T"
I 0.000 2.518 0.000
Pt 2.113 2.518 2.518
Cr 0.000 0.000 0.000
I 0.000 0.000 2.518
Co 2.113 0.000 0.000
```

Its calculated volume is 107.2 Å³/cell. The symmetry is P4/mmm (123). For the total magnetic moment, the calculation gives 0.6480 μB per atom. The calculation puts the raw formation energy at 1.35 eV per atom.

=====

Asked for DOS at the Fermi energy across the records above, the calculation gives 3.887 3.835 9.462 1.004 1.068 0.000 1.827 8.879 states/eV per cell in order.